First-principles (GGA+U) data for crystalline CdCoO2 at its relaxed geometry, as listed in the Alexandria database.

The space group is P4/mmm (No. 123) and the conventional cell measures 3.9719, 3.9719 and 2.8183 Å, with angles of 90.00, 90.00 and 90.00 degrees. The distinct sites, in fractional coordinates, are Cd at (0.0000, 0.0000, 0.0000), Co at (0.5000, 0.5000, 0.0000) and O at (0.0000, 0.5000, 0.5000).

The value obtained for the final energy is -17.902 eV per formula unit.